# 1
# LaScHg, optimized geometry, DFT GGA-PBE
# ΔE to the lowest computed polymorph in meV/atom: 109
data_LaScHg
_chemical_formula_sum 'La1 Sc1 Hg1'
_space_group_name_H-M_alt 'P -6 m 2'
_space_group_IT_number 187
_space_group_name_Hall 'P -6 2'
_cell_length_a 5.0295
_cell_length_b 5.0295
_cell_length_c 3.8874
_cell_angle_alpha 90.00
_cell_angle_beta 90.00
_cell_angle_gamma 120.00
loop_
_atom_site_label
_atom_site_fract_x
_atom_site_fract_y
_atom_site_fract_z
_atom_site_occupancy
La1 0.0000 0.0000 0.0000 1
Sc1 0.6667 0.3333 0.5000 1
Hg1 0.3333 0.6667 0.5000 1

# 2
# LaSmScHg, optimized geometry, DFT GGA-PBE
# Total DFT energy (no corrections) in eV/atom: -4.17
data_LaSmScHg
_chemical_formula_sum 'La4 Sm4 Sc4 Hg4'
_space_group_name_H-M_alt 'F -4 3 m'
_space_group_IT_number 216
_space_group_name_Hall 'F -4 2 3'
_cell_length_a 7.730
_cell_length_b 7.730
_cell_length_c 7.730
_cell_angle_alpha 90.00
_cell_angle_beta 90.00
_cell_angle_gamma 90.00
loop_
_atom_site_label
_atom_site_fract_x
_atom_site_fract_y
_atom_site_fract_z
_atom_site_occupancy
La1 0.000 0.000 0.000 1
Sm1 0.000 0.000 0.500 1
Sc1 0.250 0.250 0.250 1
Hg1 0.250 0.250 0.750 1

# 3
# LaSmSc2Hg4, optimized geometry, DFT GGA-PBE
# Total DFT energy (no corrections) in eV/atom: -3.36
data_LaSmSc2Hg4
_chemical_formula_sum 'La3 Sm3 Sc6 Hg12'
_space_group_name_H-M_alt 'R -3 m'
_space_group_IT_number 166
_space_group_name_Hall '-R 3 2"'
_cell_length_a 5.2344
_cell_length_b 5.2344
_cell_length_c 25.7880
_cell_angle_alpha 90.00
_cell_angle_beta 90.00
_cell_angle_gamma 120.00
loop_
_atom_site_label
_atom_site_fract_x
_atom_site_fract_y
_atom_site_fract_z
_atom_site_occupancy
La1 0.0000 0.0000 0.0000 1
Sm1 0.0000 0.0000 0.5000 1
Sc1 0.0000 0.0000 0.2491 1
Hg1 0.0000 0.0000 0.1270 1
Hg2 0.0000 0.0000 0.3779 1

# 4
# LaScSnHg, optimized geometry, DFT GGA-PBE
# Total DFT energy (no corrections) in eV/atom: -4.42
data_LaScSnHg
_chemical_formula_sum 'La4 Sc4 Sn4 Hg4'
_space_group_name_H-M_alt 'F -4 3 m'
_space_group_IT_number 216
_space_group_name_Hall 'F -4 2 3'
_cell_length_a 7.508
_cell_length_b 7.508
_cell_length_c 7.508
_cell_angle_alpha 90.00
_cell_angle_beta 90.00
_cell_angle_gamma 90.00
loop_
_atom_site_label
_atom_site_fract_x
_atom_site_fract_y
_atom_site_fract_z
_atom_site_occupancy
La1 0.000 0.000 0.000 1
Sc1 0.000 0.000 0.500 1
Sn1 0.250 0.250 0.250 1
Hg1 0.250 0.250 0.750 1

# 5
# LaTbScHg, optimized geometry, DFT GGA-PBE
# Total DFT energy (no corrections) in eV/atom: -4.14
data_LaTbScHg
_chemical_formula_sum 'La4 Tb4 Sc4 Hg4'
_space_group_name_H-M_alt 'F -4 3 m'
_space_group_IT_number 216
_space_group_name_Hall 'F -4 2 3'
_cell_length_a 7.684
_cell_length_b 7.684
_cell_length_c 7.684
_cell_angle_alpha 90.00
_cell_angle_beta 90.00
_cell_angle_gamma 90.00
loop_
_atom_site_label
_atom_site_fract_x
_atom_site_fract_y
_atom_site_fract_z
_atom_site_occupancy
La1 0.000 0.000 0.000 1
Tb1 0.000 0.000 0.500 1
Sc1 0.250 0.250 0.750 1
Hg1 0.250 0.250 0.250 1

# 6
# LaTb2ScHg4, optimized geometry, DFT GGA-PBE
# Total DFT energy (no corrections) in eV/atom: -3.16
data_LaTb2ScHg4
_chemical_formula_sum 'La3 Tb6 Sc3 Hg12'
_space_group_name_H-M_alt 'R -3 m'
_space_group_IT_number 166
_space_group_name_Hall '-R 3 2"'
_cell_length_a 5.2296
_cell_length_b 5.2296
_cell_length_c 26.5091
_cell_angle_alpha 90.00
_cell_angle_beta 90.00
_cell_angle_gamma 120.00
loop_
_atom_site_label
_atom_site_fract_x
_atom_site_fract_y
_atom_site_fract_z
_atom_site_occupancy
La1 0.0000 0.0000 0.0000 1
Tb1 0.0000 0.0000 0.2459 1
Sc1 0.0000 0.0000 0.5000 1
Hg1 0.0000 0.0000 0.1283 1
Hg2 0.0000 0.0000 0.3837 1

# 7
# La2ScHgTe5, optimized geometry, DFT GGA-PBE
# Formation energy without anion corrections in eV/f.u.: -10.3
data_La2ScHgTe5
_chemical_formula_sum 'La8 Sc4 Hg4 Te20'
_space_group_name_H-M_alt 'C m c 21'
_space_group_IT_number 36
_cell_length_a 4.388
_cell_length_b 19.150
_cell_length_c 13.428
_cell_angle_alpha 90.00
_cell_angle_beta 90.00
_cell_angle_gamma 90.00
loop_
_space_group_symop_operation_xyz
'x,y,z'
'-x,-y,z+1/2'
'-x,y,z'
'x,-y,z+1/2'
'x+1/2,y+1/2,z'
'-x+1/2,-y+1/2,z+1/2'
'-x+1/2,y+1/2,z'
'x+1/2,-y+1/2,z+1/2'
loop_
_atom_site_label
_atom_site_fract_x
_atom_site_fract_y
_atom_site_fract_z
_atom_site_occupancy
La1 0.000 0.119 0.000 1
La2 0.000 0.131 0.619 1
Sc1 0.000 0.196 0.323 1
Hg1 0.000 0.440 0.773 1
Te1 0.000 0.047 0.399 1
Te2 0.000 0.288 0.973 1
Te3 0.000 0.302 0.662 1
Te4 0.000 0.352 0.314 1
Te5 0.000 0.498 0.087 1

# 8
# LaTmSc2Hg4, optimized geometry, DFT GGA-PBE
# Total DFT energy (no corrections) in eV/atom: -3.33
data_LaTmSc2Hg4
_chemical_formula_sum 'La3 Tm3 Sc6 Hg12'
_space_group_name_H-M_alt 'R -3 m'
_space_group_IT_number 166
_space_group_name_Hall '-R 3 2"'
_cell_length_a 5.1402
_cell_length_b 5.1402
_cell_length_c 26.0615
_cell_angle_alpha 90.00
_cell_angle_beta 90.00
_cell_angle_gamma 120.00
loop_
_atom_site_label
_atom_site_fract_x
_atom_site_fract_y
_atom_site_fract_z
_atom_site_occupancy
La1 0.0000 0.0000 0.0000 1
Tm1 0.0000 0.0000 0.5000 1
Sc1 0.0000 0.0000 0.2472 1
Hg1 0.0000 0.0000 0.1282 1
Hg2 0.0000 0.0000 0.3830 1

# 9
# LaTmScHg, optimized geometry, DFT GGA-PBE
# Total DFT energy (no corrections) in eV/atom: -4.09
data_LaTmScHg
_chemical_formula_sum 'La4 Tm4 Sc4 Hg4'
_space_group_name_H-M_alt 'F -4 3 m'
_space_group_IT_number 216
_space_group_name_Hall 'F -4 2 3'
_cell_length_a 7.636
_cell_length_b 7.636
_cell_length_c 7.636
_cell_angle_alpha 90.00
_cell_angle_beta 90.00
_cell_angle_gamma 90.00
loop_
_atom_site_label
_atom_site_fract_x
_atom_site_fract_y
_atom_site_fract_z
_atom_site_occupancy
La1 0.000 0.000 0.000 1
Tm1 0.000 0.000 0.500 1
Sc1 0.250 0.250 0.250 1
Hg1 0.250 0.250 0.750 1

# 10
# LaY2ScHg4, optimized geometry, DFT GGA-PBE
# Total DFT energy (no corrections) in eV/atom: -3.63
data_LaY2ScHg4
_chemical_formula_sum 'La3 Y6 Sc3 Hg12'
_space_group_name_H-M_alt 'R -3 m'
_space_group_IT_number 166
_space_group_name_Hall '-R 3 2"'
_cell_length_a 5.2241
_cell_length_b 5.2241
_cell_length_c 26.4817
_cell_angle_alpha 90.00
_cell_angle_beta 90.00
_cell_angle_gamma 120.00
loop_
_atom_site_label
_atom_site_fract_x
_atom_site_fract_y
_atom_site_fract_z
_atom_site_occupancy
La1 0.0000 0.0000 0.0000 1
Y1 0.0000 0.0000 0.2458 1
Sc1 0.0000 0.0000 0.5000 1
Hg1 0.0000 0.0000 0.1283 1
Hg2 0.0000 0.0000 0.3838 1

# 11
# LaHg4Se, optimized geometry, DFT GGA-PBE
# Formation energy without anion corrections in eV/f.u.: -1.5
data_LaHg4Se
_chemical_formula_sum 'La4 Hg16 Se4'
_space_group_name_H-M_alt 'F -4 3 m'
_space_group_IT_number 216
_space_group_name_Hall 'F -4 2 3'
_cell_length_a 8.607
_cell_length_b 8.607
_cell_length_c 8.607
_cell_angle_alpha 90.00
_cell_angle_beta 90.00
_cell_angle_gamma 90.00
loop_
_atom_site_label
_atom_site_fract_x
_atom_site_fract_y
_atom_site_fract_z
_atom_site_occupancy
La1 0.000 0.000 0.000 1
Hg1 0.124 0.124 0.376 1
Se1 0.250 0.250 0.750 1

# 12
# LaHgSe2, optimized geometry, DFT GGA-PBE
# Formation energy without anion corrections in eV/f.u.: -4.6
data_LaHgSe2
_chemical_formula_sum 'La1 Hg1 Se2'
_space_group_name_H-M_alt 'P 4/m m m'
_space_group_IT_number 123
_space_group_name_Hall '-P 4 2'
_cell_length_a 4.240
_cell_length_b 4.240
_cell_length_c 6.284
_cell_angle_alpha 90.00
_cell_angle_beta 90.00
_cell_angle_gamma 90.00
loop_
_atom_site_label
_atom_site_fract_x
_atom_site_fract_y
_atom_site_fract_z
_atom_site_occupancy
La1 0.000 0.000 0.000 1
Hg1 0.500 0.500 0.500 1
Se1 0.000 0.000 0.500 1
Se2 0.500 0.500 0.000 1